CsLa2H: relaxed, GGA-PBE.

```
CsLa2H
1.0
-1.2692 1.4699 -7.6249
-6.8483 -3.8542 0.3970
-6.3857 3.0669 -2.4056
Cs H La
2 2 4
Direct
0.0000 0.0000 0.0000 Cs
0.7500 0.2500 0.5000 Cs
0.5000 0.5000 0.0000 H
0.2500 0.7500 0.5000 H
0.4250 0.1250 0.2500 La
0.3250 0.6250 0.2500 La
0.3750 0.5750 0.7500 La
0.8750 0.6750 0.7500 La
```

N(E_F) = 3.98 states/eV per cell
M_tot = 0.000 μB per atom
total DFT energy (no corrections) = -3.321 eV per atom
calculated volume = 309.65 Å³ per cell

CsLaH6Pt2: relaxed, GGA-PBE.

```
CsLaH6Pt2
1.0
-1.1278 5.1274 3.9891
-5.9124 0.8599 -2.7891
-0.6293 -6.5516 4.5692
Cs La H Pt
2 2 12 4
Direct
0.0962 0.9038 0.2500 Cs
0.9038 0.0962 0.7500 Cs
0.5635 0.4365 0.2500 La
0.4365 0.5635 0.7500 La
0.9016 0.2874 0.2745 H
0.7126 0.0984 0.2255 H
0.0984 0.7126 0.7255 H
0.2874 0.9016 0.7745 H
0.1749 0.3587 0.1755 H
0.6413 0.8251 0.3245 H
0.8251 0.6413 0.8245 H
0.3587 0.1749 0.6755 H
0.3283 0.6290 0.4575 H
0.3710 0.6717 0.0425 H
0.6717 0.3710 0.5425 H
0.6290 0.3283 0.9575 H
0.4548 0.1085 0.8680 Pt
0.8915 0.5452 0.6320 Pt
0.5452 0.8915 0.1320 Pt
0.1085 0.4548 0.3680 Pt
```

M_tot = 0.000 μB per atom
total DFT energy (no corrections) = -4.218 eV per atom
calculated volume = 320.37 Å³ per cell

CsLaHRh: relaxed, GGA-PBE.

```
CsLaHRh
1.0
7.5272 0.0000 0.0003
0.0000 5.5804 0.0000
-0.0705 0.0000 5.5818
Cs La H Rh
2 2 2 2
Direct
0.5948 0.0000 0.1528 Cs
0.5948 0.5000 0.6528 Cs
0.1370 0.0000 0.6450 La
0.1370 0.5000 0.1450 La
0.4518 0.0000 0.6505 H
0.4518 0.5000 0.1505 H
0.0575 0.0000 0.1431 Rh
0.0575 0.5000 0.6431 Rh
```

N(E_F) = 1.36 states/eV per cell
M_tot = 0.000 μB per atom
total DFT energy (no corrections) = -4.356 eV per atom
calculated volume = 234.46 Å³ per cell

CsLaHRh: relaxed, GGA-PBE.

```
CsLaHRh
1.0
3.8923 0.0000 0.0000
0.0000 3.7245 0.0000
0.0000 0.0000 16.5681
Cs La H Rh
2 2 2 2
Direct
0.0000 0.0000 0.9017 Cs
0.5000 0.5000 0.4017 Cs
0.0000 0.0000 0.6649 La
0.5000 0.5000 0.1649 La
0.0000 0.5000 0.2552 H
0.5000 0.0000 0.7552 H
0.0000 0.0000 0.2391 Rh
0.5000 0.5000 0.7391 Rh
```

N(E_F) = 4.41 states/eV per cell
M_tot = 0.000 μB per atom
total DFT energy (no corrections) = -4.327 eV per atom
calculated volume = 240.18 Å³ per cell

CsLaHRh: relaxed, GGA-PBE.

```
CsLaHRh
1.0
-3.1068 -2.2460 -0.7270
2.3505 -3.1113 -0.4340
0.8111 -0.3100 7.7593
Cs La H Rh
1 1 1 1
Direct
0.0023 0.3276 0.0743 Cs
0.7300 0.8427 0.5401 La
0.5777 0.8320 0.2279 H
0.2754 0.3478 0.6318 Rh
```

N(E_F) = 0.89 states/eV per cell
M_tot = 0.000 μB per atom
total DFT energy (no corrections) = -4.355 eV per atom
calculated volume = 115.87 Å³ per cell

CsLaHRh: relaxed, GGA-PBE.

```
CsLaHRh
1.0
-3.2983 1.9068 -0.6946
0.2270 -0.9711 -3.7415
-5.4609 -5.8583 -0.7166
Cs La H Rh
1 1 1 1
Direct
0.8242 0.0093 0.9062 Cs
0.0915 0.2842 0.3822 La
0.2436 0.4313 0.0713 H
0.5394 0.7326 0.4872 Rh
```

N(E_F) = 0.87 states/eV per cell
M_tot = 0.000 μB per atom
total DFT energy (no corrections) = -4.355 eV per atom
calculated volume = 113.88 Å³ per cell